Entry 1:
VASP calculation (PBE) on a relaxed AcNdSmAg crystal.

E ... -16.9 eV per formula unit
Total moment ... 0.00 μB/cell
Energy of formation ... -0.102 eV/atom
Calculated density ... 8.1 g cm⁻³
ΔE to the lowest computed polymorph ... 0 meV per atom

Cell lengths 3.8026, 3.8026, 8.9288 Å; angles 90.00, 90.00, 90.00 degrees
Closest atoms and distances in Å follow each position.
Space group P4mm (No. 99)
Asymmetric unit:
Ac 0.0000 0.0000 0.0000  4 Sm 3.77, 4 Nd 3.79, 4 Ac 3.80
Nd 0.5000 0.5000 0.2992  4 Ag 3.27, 1 Sm 3.62
Sm 0.5000 0.5000 0.7046  4 Ag 3.21
Ag 0.0000 0.0000 0.5077  4 Sm 3.21, 4 Nd 3.27

***

Entry 2:
VASP calculation (PBE) on a relaxed CeMg2InPd4 crystal.

E ... -37.8 eV per formula unit
Total moment ... 1.37 μB/cell
Energy of formation ... -0.640 eV/atom
Calculated density ... 8.2 g cm⁻³

Cell lengths 4.7309, 4.7309, 22.9886 Å; angles 90.00, 90.00, 120.00 degrees
Closest atoms and distances in Å follow each position.
Space group R-3m (No. 166, hexagonal axes)
Asymmetric unit:
Ce 0.0000 0.0000 0.0000  8 Pd 2.85-2.95
Mg 0.0000 0.0000 0.2451  7 Pd 2.78-2.88
In 0.0000 0.0000 0.5000  8 Pd 2.73-2.90
Pd 0.0000 0.0000 0.1240  4 Mg 2.78-2.85, 1 Ce 2.85, 3 In 2.90
Pd 0.0000 0.0000 0.3813  1 In 2.73, 3 Mg 2.88, 3 Ce 2.95

***

Entry 3:
VASP calculation (PBE) on a relaxed LiEuHo2 crystal.

E ... -20.8 eV per formula unit
Total moment ... 7.91 μB/cell
Energy of formation ... 0.140 eV/atom
Calculated density ... 6.7 g cm⁻³
ΔE to the lowest computed polymorph ... 0 meV per atom

Cell lengths 3.6727, 3.6727, 8.9228 Å; angles 90.00, 90.00, 90.00 degrees
Closest atoms and distances in Å follow each position.
Space group P4/mmm (No. 123)
Asymmetric unit:
Li 0.0000 0.0000 0.0000  8 Ho 3.17
Eu 0.0000 0.0000 0.5000  4 Eu 3.67, 8 Ho 3.71
Ho 0.5000 0.5000 0.2038  4 Li 3.17